(1)
Compound: BaHg3Ru
Source: Alexandria
Functional: PBE
Structure: relaxed

## Properties
The value obtained for the calculated total energy is -5.63 eV per formula unit. For the formation energy from the elements, the calculation gives 1.2939 eV/atom. The value obtained for the density of states at the Fermi level is 5.84 states/eV per cell. As for the total moment: 2.42 μB per cell. The calculation puts the excess energy over the best structure of this formula in the dataset at 1361 meV per atom.

a b c (Å): 6.3037 6.3037 6.3037
angles (deg): 90.00 90.00 90.00
Closest atoms and distances in Å follow each position.
Space group Pm-3m (No. 221)
Inequivalent atoms, fractional coordinates:
Ba (0.0000, 0.0000, 0.0000)  6 Hg 3.15
Hg (0.0000, 0.0000, 0.5000)  2 Ba 3.15
Ru (0.5000, 0.5000, 0.5000)  12 Hg 4.46

***

(2)
Compound: Ba2HgRu
Source: Alexandria
Functional: PBE
Structure: relaxed

## Properties
The value obtained for the calculated total energy is -13.02 eV per formula unit. For the formation energy from the elements, the calculation gives 0.1016 eV/atom. The value obtained for the density of states at the Fermi level is 7.86 states/eV per cell. As for the total moment: 0.07 μB per cell.

a b c (Å): 4.8083 4.8220 11.9265
angles (deg): 90.00 90.00 90.00
Closest atoms and distances in Å follow each position.
Space group Amm2 (No. 38)
Inequivalent atoms, fractional coordinates:
Ba (0.0000, 0.0000, 0.0000)  3 Hg 3.40-3.57, 4 Ru 3.59
Ba (0.5000, 0.0000, 0.2820)  2 Ru 3.29, 4 Hg 3.54
Hg (0.0000, 0.0000, 0.7010)  2 Ru 2.72
Ru (0.5000, 0.0000, 0.5943)  2 Hg 2.72

***

(3)
Compound: BaHg4Ru
Source: Alexandria
Functional: PBE
Structure: relaxed

## Properties
The value obtained for the calculated total energy is -10.68 eV per formula unit. For the formation energy from the elements, the calculation gives 0.2874 eV/atom. The value obtained for the density of states at the Fermi level is 28.63 states/eV per cell. As for the total moment: 6.31 μB per cell.

a b c (Å): 8.4860 8.4860 8.4860
angles (deg): 90.00 90.00 90.00
Closest atoms and distances in Å follow each position.
Space group F-43m (No. 216)
Inequivalent atoms, fractional coordinates:
Ba (0.0000, 0.0000, 0.0000)  12 Hg 3.52, 4 Ru 3.67
Hg (0.1237, 0.1237, 0.6237)  6 Hg 2.97-3.03
Ru (0.2500, 0.2500, 0.2500)  12 Hg 3.51, 4 Ba 3.67

***

(4)
Compound: Ba2HgRu
Source: Alexandria
Functional: PBE
Structure: relaxed

## Properties
The value obtained for the calculated total energy is -11.98 eV per formula unit. For the formation energy from the elements, the calculation gives 0.3603 eV/atom. The value obtained for the density of states at the Fermi level is 6.17 states/eV per cell. As for the total moment: 0.00 μB per cell.

a b c (Å): 4.9153 4.9153 9.7216
angles (deg): 90.00 90.00 90.00
Closest atoms and distances in Å follow each position.
Space group I-4m2 (No. 119)
Inequivalent atoms, fractional coordinates:
Ba (0.0000, 0.0000, 0.0000)  4 Ba 3.46, 4 Hg 3.46, 4 Ru 3.48
Ba (0.0000, 0.5000, 0.2500)  4 Ba 3.46, 4 Ru 3.46, 4 Hg 3.48
Hg (0.0000, 0.5000, 0.7500)  8 Ba 3.46-3.48, 4 Ru 3.46
Ru (0.0000, 0.0000, 0.5000)  8 Ba 3.46-3.48, 4 Hg 3.46

***

(5)
Compound: Ba2HgRu
Source: Alexandria
Functional: PBE
Structure: relaxed

## Properties
The value obtained for the calculated total energy is -12.41 eV per formula unit. For the formation energy from the elements, the calculation gives 0.2537 eV/atom. The value obtained for the density of states at the Fermi level is 5.48 states/eV per cell. As for the total moment: 0.37 μB per cell.

a b c (Å): 5.6261 5.6261 3.9646
angles (deg): 90.00 90.00 90.00
Closest atoms and distances in Å follow each position.
Space group P4/mmm (No. 123)
Inequivalent atoms, fractional coordinates:
Ba (0.0000, 0.5000, 0.0000)  4 Hg 3.44, 4 Ru 3.44
Hg (0.0000, 0.0000, 0.5000)  8 Ba 3.44
Ru (0.5000, 0.5000, 0.5000)  8 Ba 3.44

***

(6)
Compound: BaHg2RuS
Source: Alexandria
Functional: PBE
Structure: relaxed

## Properties
The value obtained for the calculated total energy is -9.48 eV per formula unit. The value obtained for the density of states at the Fermi level is 7.99 states/eV per cell. As for the total moment: 2.41 μB per cell. For the formation energy (no corrections), the calculation gives 1.289 eV per atom.

a b c (Å): 6.4793 6.4793 5.2907
angles (deg): 90.00 90.00 90.00
Closest atoms and distances in Å follow each position.
Space group P4/mmm (No. 123)
Inequivalent atoms, fractional coordinates:
Ba (0.0000, 0.0000, 0.0000)  2 Ru 2.65
Hg (0.0000, 0.5000, 0.0000)  2 Ba 3.24
Ru (0.0000, 0.0000, 0.5000)  2 Ba 2.65
S (0.5000, 0.5000, 0.5000)  8 Hg 4.18, 4 Ru 4.58

***

(7)
Compound: BaSn2HgRu
Source: Alexandria
Functional: PBE
Structure: relaxed

## Properties
The value obtained for the calculated total energy is -20.66 eV per formula unit. For the formation energy from the elements, the calculation gives -0.2317 eV/atom. The value obtained for the density of states at the Fermi level is 2.73 states/eV per cell. As for the total moment: 0.00 μB per cell.

a b c (Å): 5.1560 5.1560 5.3821
angles (deg): 90.00 90.00 90.00
Closest atoms and distances in Å follow each position.
Space group P4/mmm (No. 123)
Inequivalent atoms, fractional coordinates:
Ba (0.0000, 0.0000, 0.0000)  4 Hg 3.65, 8 Sn 3.73
Sn (0.0000, 0.5000, 0.5000)  2 Ru 2.58
Hg (0.5000, 0.5000, 0.0000)  2 Ru 2.69
Ru (0.5000, 0.5000, 0.5000)  4 Sn 2.58, 2 Hg 2.69

***

(8)
Compound: BaSrHg2Ru
Source: Alexandria
Functional: PBE
Structure: relaxed

## Properties
The value obtained for the calculated total energy is -12.97 eV per formula unit. For the formation energy from the elements, the calculation gives 0.1020 eV/atom. The value obtained for the density of states at the Fermi level is 4.17 states/eV per cell. As for the total moment: 0.00 μB per cell.

a b c (Å): 5.4970 5.4970 5.3068
angles (deg): 90.00 90.00 90.00
Closest atoms and distances in Å follow each position.
Space group P4/mmm (No. 123)
Inequivalent atoms, fractional coordinates:
Ba (0.0000, 0.0000, 0.0000)  2 Ru 2.65
Sr (0.5000, 0.5000, 0.0000)  8 Hg 3.82, 4 Ba 3.89
Hg (0.0000, 0.5000, 0.5000)  2 Ru 2.75
Ru (0.0000, 0.0000, 0.5000)  2 Ba 2.65, 4 Hg 2.75

***

(9)
Compound: Ba2TaHgRu
Source: Alexandria
Functional: PBE
Structure: relaxed

## Properties
The value obtained for the calculated total energy is -22.82 eV per formula unit. For the formation energy from the elements, the calculation gives 0.4916 eV/atom. The value obtained for the density of states at the Fermi level is 6.21 states/eV per cell. As for the total moment: 1.26 μB per cell.

a b c (Å): 6.1744 6.1744 4.7480
angles (deg): 90.00 90.00 90.00
Closest atoms and distances in Å follow each position.
Space group P4/mmm (No. 123)
Inequivalent atoms, fractional coordinates:
Ba (0.0000, 0.5000, 0.0000)  2 Ru 3.09
Ta (0.0000, 0.0000, 0.5000)  2 Ru 2.37
Hg (0.5000, 0.5000, 0.5000)  8 Ba 3.89
Ru (0.0000, 0.0000, 0.0000)  2 Ta 2.37

***

(10)
Compound: Ba2HgTeRu
Source: Alexandria
Functional: PBE
Structure: relaxed

## Properties
The value obtained for the calculated total energy is -18.40 eV per formula unit. The value obtained for the density of states at the Fermi level is 1.84 states/eV per cell. As for the total moment: 0.00 μB per cell. For the formation energy (no corrections), the calculation gives -0.367 eV per atom.

a b c (Å): 5.7711 5.7711 5.2133
angles (deg): 90.00 90.00 90.00
Closest atoms and distances in Å follow each position.
Space group P4/mmm (No. 123)
Inequivalent atoms, fractional coordinates:
Ba (0.0000, 0.5000, 0.0000)  2 Ru 2.89
Hg (0.0000, 0.0000, 0.5000)  2 Ru 2.61
Te (0.5000, 0.5000, 0.5000)  8 Ba 3.89, 4 Hg 4.08
Ru (0.0000, 0.0000, 0.0000)  2 Hg 2.61, 4 Ba 2.89

***

(11)
Compound: Ba2YHgRu
Source: Alexandria
Functional: PBE
Structure: relaxed

## Properties
The value obtained for the calculated total energy is -16.15 eV per formula unit. For the formation energy from the elements, the calculation gives 0.7467 eV/atom. The value obtained for the density of states at the Fermi level is 8.09 states/eV per cell. As for the total moment: 0.03 μB per cell.

a b c (Å): 6.2885 6.2885 5.1159
angles (deg): 90.00 90.00 90.00
Closest atoms and distances in Å follow each position.
Space group P4/mmm (No. 123)
Inequivalent atoms, fractional coordinates:
Ba (0.0000, 0.5000, 0.0000)  2 Hg 3.14
Y (0.0000, 0.0000, 0.5000)  8 Ba 4.05, 4 Ru 4.45
Hg (0.5000, 0.5000, 0.0000)  2 Ru 2.56
Ru (0.5000, 0.5000, 0.5000)  2 Hg 2.56

***

(12)
Compound: Ba2ZnHgRu
Source: Alexandria
Functional: PBE
Structure: relaxed

## Properties
The value obtained for the calculated total energy is -11.37 eV per formula unit. For the formation energy from the elements, the calculation gives 0.6660 eV/atom. The value obtained for the density of states at the Fermi level is 8.74 states/eV per cell. As for the total moment: 1.39 μB per cell. The calculation puts the excess energy over the best structure of this formula in the dataset at 0 meV per atom.

a b c (Å): 6.1499 6.1499 4.8677
angles (deg): 90.00 90.00 90.00
Closest atoms and distances in Å follow each position.
Space group P4/mmm (No. 123)
Inequivalent atoms, fractional coordinates:
Ba (0.0000, 0.5000, 0.0000)  2 Zn 3.07
Zn (0.0000, 0.0000, 0.0000)  2 Hg 2.43
Hg (0.0000, 0.0000, 0.5000)  2 Zn 2.43
Ru (0.5000, 0.5000, 0.5000)  8 Ba 3.92, 4 Hg 4.35